Record 1
# AlV2Fe

A relaxed structure of AlV2Fe (PBE, the Alexandria database).

Geometry as POSCAR:
```
AlV2Fe
1.0
3.5534 0.0000 0.0000
0.0000 3.5534 0.0000
0.0000 0.0000 4.1351
Al V Fe
1 2 1
Cartesian
0.0000 0.0000 0.0000
0.0000 1.7767 2.0675
1.7767 0.0000 2.0675
1.7767 1.7767 0.0000
```

Results
As for the electronic total energy: -7.759 eV per atom. The calculation puts the density at 5875 kg/m³. Its space group is P4/mmm (123).

Record 2
# Zr2AlV2Fe5

A relaxed structure of Zr2AlV2Fe5 (PBE, the Alexandria database).

Geometry as POSCAR:
```
Zr2AlV2Fe5
1.0
9.5468 0.0000 0.0000
0.0000 9.5468 0.0000
0.0000 0.0000 3.0552
Zr Al V Fe
4 2 4 10
Cartesian
1.6787 3.0947 0.0000
3.0947 7.8682 0.0000
6.4521 1.6787 0.0000
7.8682 6.4521 0.0000
0.0000 0.0000 0.0000
4.7734 4.7734 0.0000
1.2010 5.9744 0.0000
3.5724 1.2010 0.0000
5.9744 8.3458 0.0000
8.3458 3.5724 0.0000
0.0000 4.7734 1.5276
0.5536 7.5987 1.5276
1.9481 0.5536 1.5276
2.8253 5.3270 1.5276
4.2198 2.8253 1.5276
4.7734 0.0000 1.5276
5.3270 6.7215 1.5276
6.7215 4.2198 1.5276
7.5987 8.9932 1.5276
8.9932 1.9481 1.5276
```

Results
As for the electronic total energy: -8.154 eV per atom. The calculation puts the density at 7043 kg/m³. Its space group is P4/mbm (127).

Record 3
# Al2Fe4W

A relaxed structure of Al2Fe4W (PBE, the Alexandria database).

Geometry as POSCAR:
```
Al2Fe4W
1.0
-2.8309 2.8309 2.9485
2.8309 -2.8309 2.9485
2.8309 2.8309 -2.9485
Al Fe W
2 4 1
Cartesian
2.8309 0.0000 0.0000
0.0000 2.8309 0.0000
1.4155 1.4155 -1.4742
1.4155 -1.4155 1.4742
-1.4155 1.4155 1.4742
1.4155 1.4155 1.4742
0.0000 0.0000 0.0000
```

Results
As for the electronic total energy: -7.577 eV per atom. The calculation puts the density at 8102 kg/m³. Its space group is I4/mmm (139).

Record 4
# AlFeW3

A relaxed structure of AlFeW3 (PBE, the Alexandria database).

Geometry as POSCAR:
```
AlFeW3
1.0
4.4612 0.0000 0.0000
0.0000 4.4612 0.0000
0.0000 0.0000 4.4612
Al Fe W
1 1 3
Cartesian
0.0000 0.0000 0.0000
2.2306 2.2306 2.2306
0.0000 2.2306 2.2306
2.2306 0.0000 2.2306
2.2306 2.2306 0.0000
```

Results
As for the electronic total energy: -8.980 eV per atom. As for the relative energy among the computed polymorphs: 0.0 kJ per mole of atoms. The calculation puts the density at 11864 kg/m³. Its space group is Pm-3m (221).

Quick rundown of formation enthalpy at 0 K, same order as above: -0.1481, -0.0149, 0.1785, 1.2327 eV/atom
Quick rundown of total magnetization, same order as above: 0.4218, 0.0000, 0.5489, 0.0000 μB/atom